SmScU: relaxed, PBE.

Properties
ρ = 7.7 g cm⁻³
E above lowest polymorph = 0 meV per atom
formation energy = 3.59 eV per formula unit
E = -75.00 eV per cell

Lattice parameters (Å, degrees): 7.212 7.212 7.212 90.00 90.00 90.00
Space group F-43m (No. 216)
Symmetry-distinct sites (fractional):
Sm 0.000 0.000 0.000 [4 per cell]
Sc 0.250 0.250 0.250 [4 per cell]
U 0.000 0.000 0.500 [4 per cell]